# Mg5Te | the Alexandria database | meta-GGA SCAN | single point on PBEsol structure
data_Mg5Te
_cell_length_a 4.711
_cell_length_b 4.196
_cell_length_c 14.110
_cell_angle_alpha 90.00
_cell_angle_beta 90.00
_cell_angle_gamma 90.00
_symmetry_space_group_name_H-M 'A m m 2'
_symmetry_Int_Tables_number 38
_symmetry_space_group_name_Hall 'A 2 -2'
loop_
_atom_site_label
_atom_site_fract_x
_atom_site_fract_y
_atom_site_fract_z
_atom_site_occupancy
Mg1 0.000 0.000 0.000 1
Mg2 0.000 0.000 0.328 1
Mg3 0.000 0.000 0.656 1
Mg4 0.500 0.000 0.159 1
Mg5 0.500 0.000 0.497 1
Te1 0.500 0.000 0.828 1
# ρ = 2.967 g cm⁻³
# Fermi-level density of states = 0.434 states/eV/atom
# Energy relative to the lowest polymorph listed for this composition = 0 meV/atom
# ΔE_f (raw) = -0.0986 eV/atom